(1)
First-principles (PBE) data for crystalline LaPr12Cd6 at its relaxed geometry, as listed in Alexandria via LeMat-Bulk.

The structure in CIF format:
```
data_LaPr12Cd6
_chemical_formula_sum 'La3 Pr36 Cd18'
_symmetry_space_group_name_H-M 'R -3'
_symmetry_Int_Tables_number 148
_symmetry_space_group_name_Hall '-R 3'
_cell_length_a 11.7513
_cell_length_b 11.7513
_cell_length_c 15.0326
_cell_angle_alpha 90.00
_cell_angle_beta 90.00
_cell_angle_gamma 120.00
loop_
_atom_site_label
_atom_site_type_symbol
_atom_site_fract_x
_atom_site_fract_y
_atom_site_fract_z
La1 La 0.0000 0.0000 0.0000
Pr1 Pr 0.0411 0.8496 0.8042
Pr2 Pr 0.0570 0.2189 0.4108
Cd1 Cd 0.0303 0.5903 0.7058
```

Computed properties:
raw total energy = -209.27 eV/cell

(2)
First-principles (PBE) data for crystalline NdHoTm2Ag4 at its relaxed geometry, as listed in Alexandria via LeMat-Bulk.

The structure in CIF format:
```
data_NdHoTm2Ag4
_chemical_formula_sum 'Nd3 Ho3 Tm6 Ag12'
_symmetry_space_group_name_H-M 'R -3 m'
_symmetry_Int_Tables_number 166
_symmetry_space_group_name_Hall '-R 3 2"'
_cell_length_a 5.1393
_cell_length_b 5.1393
_cell_length_c 25.3504
_cell_angle_alpha 90.00
_cell_angle_beta 90.00
_cell_angle_gamma 120.00
loop_
_atom_site_label
_atom_site_type_symbol
_atom_site_fract_x
_atom_site_fract_y
_atom_site_fract_z
Nd1 Nd 0.0000 0.0000 0.0000
Ho1 Ho 0.0000 0.0000 0.5000
Tm1 Tm 0.0000 0.0000 0.2489
Ag1 Ag 0.0000 0.0000 0.1271
Ag2 Ag 0.0000 0.0000 0.3787
```

Computed properties:
raw total energy = -96.48 eV/cell